Record 1
BeCoRh2 | meta-GGA SCAN | PBEsol geometry

a b c (Å): 3.5092 3.5092 4.4557
angles (deg): 113.19 113.19 90.00
Fractional coordinates of all 4 atoms:
1 Be 0.5000 0.5000 0.0000
2 Rh 0.7500 0.2500 0.5000
3 Rh 0.0000 0.0000 0.0000
4 Co 0.2500 0.7500 0.5000

Magnetization in Bohr magnetons per cell: 0.00
D(E_F) in states/eV/f.u.: 3.5
SG: I-4m2
Total DFT energy (no corrections) in eV/cell: -89.57
Energy relative to the elements in eV per atom: -0.09



Record 2
BeCo2Rh | meta-GGA SCAN | PBEsol geometry

a b c (Å): 2.5234 5.3312 4.3094
angles (deg): 118.68 89.99 118.26
Last column: magnetic moment on the atom in μB.
Fractional coordinates of all 4 atoms:
1 Rh 0.5000 0.0000 0.0000  0.37
2 Co 0.0000 0.0000 0.5000  1.62
3 Co 0.5000 0.5000 0.5000  1.62
4 Be 0.0000 0.5000 0.0000  -0.03

Magnetization in Bohr magnetons per cell: 3.52
D(E_F) in states/eV/f.u.: 2.2
SG: Cmmm
Total DFT energy (no corrections) in eV/cell: -72.94
Energy relative to the elements in eV per atom: -0.05



Record 3
BeCo3Rh | meta-GGA SCAN | PBEsol geometry

a b c (Å): 4.4063 4.4063 4.4063
angles (deg): 90.00 90.00 90.00
Last column: magnetic moment on the atom in μB.
Fractional coordinates of all 5 atoms:
1 Rh 0.0000 0.0000 0.0000  0.94
2 Be 0.5000 0.5000 0.5000  -0.01
3 Co 0.0000 0.0000 0.5000  2.15
4 Co 0.5000 0.0000 0.0000  2.15
5 Co 0.0000 0.5000 0.0000  2.15

Magnetization in Bohr magnetons per cell: 7.18
D(E_F) in states/eV/f.u.: 5.7
SG: Pm-3m
Total DFT energy (no corrections) in eV/cell: -82.07
Energy relative to the elements in eV per atom: 1.59